The following is a DFT calculation (GGA-PBE) of a geometry-optimized CeSmHo3Er structure.

Lattice parameters (Å, degrees): 5.6893 11.7420 11.3844 90.00 90.00 90.00
Space group Cmcm (No. 63)
Symmetry-distinct sites (fractional):
Ce 0.0000 0.0227 0.2500 x4
Sm 0.0000 0.5000 0.0000 x4
Ho 0.0000 0.1737 0.5212 x8
Ho 0.0000 0.3496 0.7500 x4
Er 0.0000 0.3284 0.2500 x4

ΔE_f (eV per atom): 0.160
Total moment (Bohr magnetons per cell): 6.2